(i)
LiCoPCl2 | PBE | optimized geometry

Output
The value obtained for the total magnetic moment is 1.4 Bohr magnetons per cell. The crystal system is tetragonal.

a = 4.403 Å, b = 4.403 Å, c = 5.087 Å
α = 90.00°, β = 90.00°, γ = 90.00°
Space group P4/mmm (No. 123)
Inequivalent atoms, fractional coordinates:
Li1 0.000 0.000 0.000
Co1 0.500 0.500 0.500
P1 0.000 0.000 0.500
Cl1 0.000 0.500 0.000


(ii)
LiCoPCl2 | PBE | optimized geometry

Output
The value obtained for the total magnetic moment is 0.0 Bohr magnetons per cell. The crystal system is tetragonal.

a = 4.955 Å, b = 4.955 Å, c = 4.165 Å
α = 90.00°, β = 90.00°, γ = 90.00°
Space group P4/mmm (No. 123)
Inequivalent atoms, fractional coordinates:
Li1 0.000 0.000 0.000
Co1 0.500 0.500 0.500
P1 0.500 0.500 0.000
Cl1 0.000 0.500 0.500


Energy above the most stable structure, in kJ/mol of atoms: (i) 74.6; (ii) 0.0